# 1
Computed, not measured: a relaxed Ac3NdP crystal at the PBE-GGA level of DFT.

E_tot	-0.179	Ha/atom
space-group type	Pm-3m
Fermi-level density of states	8.17	states/eV per cell

Unit cell a=5.938 b=5.938 c=5.938 alpha=90.00 beta=90.00 gamma=90.00
Positions (direct):
Ac1 0.000 0.000 0.500
Ac2 0.000 0.500 0.000
Ac3 0.500 0.000 0.000
Nd1 0.500 0.500 0.500
P1 0.000 0.000 0.000

# 2
Computed, not measured: a relaxed Ac3TlPdCl crystal at the PBE-GGA level of DFT.

E_tot	-0.163	Ha/atom
space-group type	P2_1/m
formation energy from raw total energies	-4.90	eV/f.u.
Fermi-level density of states	10.24	states/eV per cell

Unit cell a=8.228 b=4.889 c=10.519 alpha=90.00 beta=106.74 gamma=90.00
Positions (direct):
Ac1 0.054 0.250 0.353
Ac2 0.212 0.250 0.973
Ac3 0.427 0.750 0.634
Ac4 0.573 0.250 0.366
Ac5 0.788 0.750 0.027
Ac6 0.946 0.750 0.647
Tl1 0.257 0.750 0.228
Tl2 0.743 0.250 0.772
Pd1 0.188 0.250 0.650
Pd2 0.812 0.750 0.350
Cl1 0.389 0.750 0.908
Cl2 0.611 0.250 0.092

# 3
Computed, not measured: a relaxed Cu2NiRu crystal at the PBE-GGA level of DFT.

E_tot	-0.205	Ha/atom
space-group type	P4/mmm
distance to the lowest polymorph of the same formula	0.1049	eV/atom
Fermi-level density of states	5.99	states/eV per cell

Unit cell a=2.560 b=2.560 c=7.505 alpha=90.00 beta=90.00 gamma=90.00
Positions (direct):
Cu1 0.000 0.000 0.235
Cu2 0.000 0.000 0.765
Ni1 0.500 0.500 0.000
Ru1 0.500 0.500 0.500

# 4
Computed, not measured: a relaxed CoTcBi2 crystal at the PBE-GGA level of DFT.

E_tot	-0.208	Ha/atom
space-group type	Fm-3m
distance to the lowest polymorph of the same formula	0.0000	eV/atom
Fermi-level density of states	3.50	states/eV per cell

Unit cell a=4.784 b=4.784 c=4.784 alpha=60.00 beta=60.00 gamma=60.00
Positions (direct):
Co1 0.000 0.000 0.000
Tc1 0.500 0.500 0.500
Bi1 0.250 0.250 0.250
Bi2 0.750 0.750 0.750

# 5
Computed, not measured: a relaxed PdWS2Cl crystal at the PBE-GGA level of DFT.

E_tot	-0.167	Ha/atom
space-group type	P4/mmm
formation energy from raw total energies	5.46	eV/f.u.
distance to the lowest polymorph of the same formula	0.8001	eV/atom
Fermi-level density of states	5.13	states/eV per cell

Unit cell a=4.726 b=4.726 c=4.602 alpha=90.00 beta=90.00 gamma=90.00
Positions (direct):
Pd1 0.000 0.000 0.000
W1 0.500 0.500 0.500
S1 0.000 0.500 0.000
S2 0.500 0.000 0.000
Cl1 0.000 0.000 0.500

# 6
Computed, not measured: a relaxed Cs6Au2BrF3 crystal at the PBE-GGA level of DFT.

E_tot	-0.120	Ha/atom
space-group type	C2/m
formation energy from raw total energies	-20.28	eV/f.u.

Unit cell a=10.806 b=10.806 c=9.425 alpha=109.98 beta=109.98 gamma=25.17
Positions (direct):
Cs1 0.011 0.011 0.286
Cs2 0.316 0.316 0.885
Cs3 0.353 0.353 0.337
Cs4 0.647 0.647 0.663
Cs5 0.684 0.684 0.115
Cs6 0.989 0.989 0.714
Au1 0.204 0.204 0.440
Au2 0.796 0.796 0.560
Br1 0.500 0.500 0.000
F1 0.166 0.166 0.874
F2 0.500 0.500 0.500
F3 0.834 0.834 0.126

The highest E_tot belongs to which entry?
Cs6Au2BrF3

Look up the E_tot of the first one.
-0.179 Ha/atom

Which value of E_tot does entry 3 give?
-0.205 Ha/atom

The lowest E_tot belongs to which entry?
CoTcBi2